1.
Below is TaBeRe2Ag at its PBEsol-relaxed geometry, with properties calculated at the meta-GGA SCAN level.

Unit cell a=4.7793 b=4.7793 c=3.7547 alpha=90.00 beta=90.00 gamma=90.00
Positions (direct):
Ta  0.0000  0.0000  0.0000
Be  0.5000  0.5000  0.0000
Re  0.0000  0.5000  0.5000
Re  0.5000  0.0000  0.5000
Ag  0.5000  0.5000  0.5000

Output
DFT formation energy (meV per atom): 1910.0



2.
Below is Si3AgPd at its PBEsol-relaxed geometry, with properties calculated at the meta-GGA SCAN level.

Unit cell a=4.6846 b=4.6846 c=4.6846 alpha=90.00 beta=90.00 gamma=90.00
Positions (direct):
Si  0.0000  0.0000  0.5000
Si  0.0000  0.5000  0.0000
Si  0.5000  0.0000  0.0000
Ag  0.0000  0.0000  0.0000
Pd  0.5000  0.5000  0.5000

Output
Formation energy from raw total energies (meV/atom): 1324



3.
Below is Ba4CaRe at its PBEsol-relaxed geometry, with properties calculated at the meta-GGA SCAN level.

Unit cell a=6.9568 b=6.9568 c=6.9568 alpha=60.00 beta=60.00 gamma=60.00
Positions (direct):
Ba  0.3770  0.3770  0.3770
Ba  0.3770  0.3770  0.8691
Ba  0.3770  0.8691  0.3770
Ba  0.8691  0.3770  0.3770
Ca  0.0000  0.0000  0.0000
Re  0.7500  0.7500  0.7500

Output
DFT formation energy (meV per atom): 1248.6



Magnetic moment across the listed records, respectively: 1.0, 0.0, 1.3 μB per cell.